A plane-wave DFT calculation with GGA+U was carried out for Rb2VAuF6 after structural relaxation.

a = 6.762 Å, b = 6.762 Å, c = 8.266 Å
α = 90.00°, β = 90.00°, γ = 90.00°
Space group I4/mmm (No. 139)
Unique sites:
Rb (0.000, 0.500, 0.250)
V (0.000, 0.000, 0.000)
Au (0.000, 0.000, 0.500)
F (0.000, 0.000, 0.249)
F (0.203, 0.203, 0.000)

Calculated values
- DFT total energy: -95.25 eV for the cell shown